{
  "formula": "CaCr2Cl",
  "functional": "PBE",
  "state": "optimized geometry",
  "vol_a3_per_atom": 23.38,
  "polymorph_energy_mev_per_atom": 619,
  "formation_energy_uncorrected_ev_per_atom": 0.469,
  "energy_ev_per_atom": -5.30,
  "magnetic_moment_mub_per_cell": 9.090,
  "sg": "Cmmm",
  "cell": [[3.352, -0.249, 0.000], [-1.183, 3.146, 0.000], [0.000, 0.000, 9.121]],
  "species": ["Cr", "Cr", "Ca", "Cl"],
  "frac_coords": [[0.000, 0.000, 0.966], [0.000, 0.000, 0.534], [0.500, 0.500, 0.250], [0.500, 0.500, 0.750]]
}